Record 1
## Y3ErMg3 (PBE)

Data for a relaxed structure of Y3ErMg3.

## Properties
magnetization: 0.03 μB per atom
E: -4.030 eV per atom
Fermi-level density of states: 7.5 states/eV/f.u.
formation energy from the elements: 0.08 eV/atom

Lattice parameters (Å, degrees): 7.7335 7.7335 6.9388 89.84 89.84 92.80
With the nearest neighbours (Å) after each atom.
Fractional positions:
Y  0.4985  0.0013  0.2526  6 Mg 3.19-3.31, 2 Er 3.37-3.38, 2 Y 3.43-3.51
Y  0.9987  0.5015  0.7474  6 Mg 3.19-3.31, 2 Er 3.37-3.38, 2 Y 3.43-3.51
Y  0.0000  0.0000  0.2459  4 Mg 3.33-3.40, 2 Y 3.41-3.53
Y  0.5015  0.9987  0.7474  6 Mg 3.19-3.31, 2 Er 3.37-3.38, 2 Y 3.43-3.51
Y  0.0013  0.4985  0.2526  6 Mg 3.19-3.31, 2 Er 3.37-3.38, 2 Y 3.43-3.51
Y  0.0000  0.0000  0.7541  4 Mg 3.33-3.40, 2 Y 3.41-3.53
Mg  0.2719  0.2719  0.4991  2 Mg 3.12, 6 Y 3.28-3.40, 1 Er 3.48
Mg  0.7281  0.7281  0.5009  2 Mg 3.12, 6 Y 3.28-3.40, 1 Er 3.48
Mg  0.2556  0.7444  0.0000  6 Y 3.19-3.33, 2 Er 3.38, 2 Mg 3.56
Mg  0.7444  0.2556  0.0000  6 Y 3.19-3.33, 2 Er 3.38, 2 Mg 3.56
Mg  0.3259  0.6741  0.5000  2 Mg 3.12, 4 Y 3.28-3.29
Mg  0.6741  0.3259  0.5000  2 Mg 3.12, 4 Y 3.28-3.29
Er  0.6858  0.6858  0.0043  6 Y 3.37-3.77, 4 Mg 3.38-3.52
Er  0.3142  0.3142  0.9957  6 Y 3.37-3.77, 4 Mg 3.38-3.52

---

Record 2
## YEr5Mg (PBE)

Data for a relaxed structure of YEr5Mg.

## Properties
magnetization: 0.00 μB per atom
E: -4.207 eV per atom
Fermi-level density of states: 10.8 states/eV/f.u.
formation energy from the elements: 0.20 eV/atom

Lattice parameters (Å, degrees): 8.3457 8.3457 12.4555 49.11 49.11 44.88
With the nearest neighbours (Å) after each atom.
Fractional positions:
Mg  0.0000  0.0000  0.5000  4 Er 3.18-3.49, 2 Y 3.48
Mg  0.0000  0.0000  0.0000  4 Er 3.18-3.49, 2 Y 3.48
Er  0.7524  0.7613  0.0719  1 Mg 3.18, 6 Er 3.25-3.53, 2 Y 3.31-3.37
Er  0.2476  0.2387  0.9281  1 Mg 3.18, 6 Er 3.25-3.53, 2 Y 3.31-3.37
Er  0.6632  0.6570  0.9035  5 Er 3.25-3.53, 1 Y 3.50
Er  0.7613  0.7524  0.5719  1 Mg 3.18, 6 Er 3.25-3.53, 2 Y 3.31-3.37
Er  0.3368  0.3430  0.0965  5 Er 3.25-3.53, 1 Y 3.50
Er  0.2475  0.7525  0.2500  2 Y 3.13-3.24, 4 Er 3.27-3.35, 2 Mg 3.49
Er  0.6570  0.6632  0.4035  5 Er 3.25-3.53, 1 Y 3.50
Er  0.3430  0.3368  0.5965  5 Er 3.25-3.53, 1 Y 3.50
Er  0.7525  0.2475  0.7500  2 Y 3.13-3.24, 4 Er 3.27-3.35, 2 Mg 3.49
Er  0.2387  0.2476  0.4281  1 Mg 3.18, 6 Er 3.25-3.53, 2 Y 3.31-3.37
Y  0.2433  0.7567  0.7500  8 Er 3.13-3.50, 2 Mg 3.48
Y  0.7567  0.2433  0.2500  8 Er 3.13-3.50, 2 Mg 3.48

---

Record 3
## YEr4Mg7 (PBE)

Data for a relaxed structure of YEr4Mg7.

## Properties
magnetization: 0.00 μB per atom
E: -3.009 eV per atom
Fermi-level density of states: 12.4 states/eV/f.u.
formation energy from the elements: -0.02 eV/atom

Lattice parameters (Å, degrees): 5.2808 5.2808 13.1500 90.00 90.00 120.00
With the nearest neighbours (Å) after each atom.
Fractional positions:
Mg  0.0000  0.0000  0.0000  2 Mg 3.13, 6 Er 3.21
Mg  0.3333  0.6667  0.1813  4 Mg 3.11-3.14, 4 Er 3.34-3.40
Mg  0.0000  0.0000  0.7622  4 Mg 3.13-3.14, 3 Er 3.32, 1 Y 3.45
Mg  0.3333  0.6667  0.4178  1 Mg 3.11, 4 Er 3.22-3.23, 3 Y 3.24
Mg  0.6667  0.3333  0.8187  4 Mg 3.11-3.14, 4 Er 3.34-3.40
Mg  0.6667  0.3333  0.5822  1 Mg 3.11, 4 Er 3.22-3.23, 3 Y 3.24
Mg  0.0000  0.0000  0.2378  4 Mg 3.13-3.14, 3 Er 3.32, 1 Y 3.45
Er  0.3333  0.6667  0.6624  7 Mg 3.22-3.32, 1 Er 3.42
Er  0.6667  0.3333  0.3376  7 Mg 3.22-3.32, 1 Er 3.42
Er  0.6667  0.3333  0.0773  7 Mg 3.21-3.40, 1 Er 3.42
Er  0.3333  0.6667  0.9227  7 Mg 3.21-3.40, 1 Er 3.42
Y  0.0000  0.0000  0.5000  8 Mg 3.24-3.45

---

Record 4
## YErMg (PBE)

Data for a relaxed structure of YErMg.

## Properties
magnetization: 0.14 μB per atom
E: -4.249 eV per atom
Fermi-level density of states: 4.4 states/eV/f.u.
formation energy from the elements: -0.04 eV/atom

Lattice parameters (Å, degrees): 3.6942 3.6942 6.8247 105.70 105.70 90.00
With the nearest neighbours (Å) after each atom.
Fractional positions:
Mg  0.6678  0.6678  0.3356  4 Er 3.27, 4 Y 3.29
Er  0.3234  0.3234  0.6468  4 Mg 3.27, 4 Y 3.51
Y  0.0088  0.0088  0.0176  4 Mg 3.29, 4 Er 3.51

---

Record 5
## Y12Er6Mg (PBE)

Data for a relaxed structure of Y12Er6Mg.

## Properties
magnetization: 0.00 μB per atom
E: -5.477 eV per atom
Fermi-level density of states: 33.1 states/eV/f.u.
formation energy from the elements: 0.13 eV/atom

Lattice parameters (Å, degrees): 8.4861 8.4861 8.4861 88.51 88.51 88.51
With the nearest neighbours (Å) after each atom.
Fractional positions:
Y  0.3657  0.0139  0.1794  4 Er 3.42-3.69, 5 Y 3.49-3.76, 1 Mg 3.50
Y  0.4348  0.7822  0.5387  3 Er 3.31-3.45, 6 Y 3.33-3.66
Y  0.7822  0.5387  0.4348  3 Er 3.31-3.45, 6 Y 3.33-3.66
Y  0.1794  0.3657  0.0139  4 Er 3.42-3.69, 5 Y 3.49-3.76, 1 Mg 3.50
Y  0.5652  0.2178  0.4613  3 Er 3.31-3.45, 6 Y 3.33-3.66
Y  0.8206  0.6343  0.9861  4 Er 3.42-3.69, 5 Y 3.49-3.76, 1 Mg 3.50
Y  0.0139  0.1794  0.3657  4 Er 3.42-3.69, 5 Y 3.49-3.76, 1 Mg 3.50
Y  0.9861  0.8206  0.6343  4 Er 3.42-3.69, 5 Y 3.49-3.76, 1 Mg 3.50
Y  0.4613  0.5652  0.2178  3 Er 3.31-3.45, 6 Y 3.33-3.66
Y  0.6343  0.9861  0.8206  4 Er 3.42-3.69, 5 Y 3.49-3.76, 1 Mg 3.50
Y  0.5387  0.4348  0.7822  3 Er 3.31-3.45, 6 Y 3.33-3.66
Y  0.2178  0.4613  0.5652  3 Er 3.31-3.45, 6 Y 3.33-3.66
Er  0.7112  0.2613  0.0978  7 Y 3.31-3.69, 1 Mg 3.36, 2 Er 3.42
Er  0.7387  0.9022  0.2888  7 Y 3.31-3.69, 1 Mg 3.36, 2 Er 3.42
Er  0.2613  0.0978  0.7112  7 Y 3.31-3.69, 1 Mg 3.36, 2 Er 3.42
Er  0.2888  0.7387  0.9022  7 Y 3.31-3.69, 1 Mg 3.36, 2 Er 3.42
Er  0.9022  0.2888  0.7387  7 Y 3.31-3.69, 1 Mg 3.36, 2 Er 3.42
Er  0.0978  0.7112  0.2613  7 Y 3.31-3.69, 1 Mg 3.36, 2 Er 3.42
Mg  0.0000  0.0000  0.0000  6 Er 3.36, 6 Y 3.50

---

Record 6
## YEr3Mg4 (PBE)

Data for a relaxed structure of YEr3Mg4.

## Properties
magnetization: 0.00 μB per atom
E: -3.396 eV per atom
Fermi-level density of states: 10.5 states/eV/f.u.
formation energy from the elements: -0.08 eV/atom

Lattice parameters (Å, degrees): 3.7721 3.7721 15.1084 90.00 90.00 90.00
With the nearest neighbours (Å) after each atom.
Fractional positions:
Y  0.5000  0.5000  0.0000  8 Mg 3.29
Er  0.5000  0.5000  0.5000  8 Mg 3.26
Er  0.5000  0.5000  0.7485  8 Mg 3.26
Er  0.5000  0.5000  0.2515  8 Mg 3.26
Mg  0.0000  0.0000  0.8731  4 Er 3.26, 4 Y 3.29
Mg  0.0000  0.0000  0.1269  4 Er 3.26, 4 Y 3.29
Mg  0.0000  0.0000  0.3755  8 Er 3.26
Mg  0.0000  0.0000  0.6245  8 Er 3.26